{
  "formula": "Pr4N3O",
  "functional": "PBE",
  "state": "optimized geometry",
  "dos_at_fermi_per_ev_cell": 2.43,
  "e_form_raw_ev_per_atom": -1.700,
  "lattice": [[5.188, 0.000, 0.000], [0.000, 5.188, 0.000], [0.000, 0.000, 5.188]],
  "species": ["Pr", "Pr", "Pr", "Pr", "N", "N", "N", "O"],
  "frac_coords": [[0.000, 0.000, 0.000], [0.000, 0.500, 0.500], [0.500, 0.000, 0.500], [0.500, 0.500, 0.000], [0.000, 0.000, 0.500], [0.000, 0.500, 0.000], [0.500, 0.000, 0.000], [0.500, 0.500, 0.500]]
}